1.
Entry from Alexandria: a relaxed structure of CdCuAs (PBE).

Output
Spin magnetization   0.00 μB/cell
E_tot   -3.17 eV per atom

a = 4.2828 Å, b = 4.2602 Å, c = 7.5690 Å
α = 91.45°, β = 90.00°, γ = 120.18°
With the nearest neighbours (Å) after each atom.
Fractional coordinates of all 6 atoms:
1 As 0.3483 0.6966 0.9736  3 Cu 2.49-2.51
2 As 0.0003 0.0006 0.3484  4 Cu 2.42-2.52
3 Cd 0.6777 0.3554 0.7964  3 As 2.80-2.81, 4 Cu 2.89-3.04, 3 Cd 3.01-3.02
4 Cd 0.3374 0.6749 0.5670  3 Cu 2.72, 3 As 2.94-2.98, 3 Cd 3.01-3.02
5 Cu 0.6674 0.3348 0.4142  3 As 2.51-2.52, 3 Cd 2.72
6 Cu 0.0170 0.0340 0.0295  4 As 2.42-2.51

***

2.
Entry from Alexandria: a relaxed structure of CdCuAs2 (PBE).

Output
Spin magnetization   0.00 μB/cell
E_tot   -3.42 eV per atom

a = 6.4043 Å, b = 6.4043 Å, c = 6.4043 Å
α = 146.08°, β = 146.94°, γ = 48.09°
With the nearest neighbours (Å) after each atom.
Fractional coordinates of all 4 atoms:
1 As 0.0783 0.0783 0.0000  2 Cu 2.58, 2 As 2.68
2 As 0.7469 0.2469 0.5000  4 Cu 2.62, 2 As 2.68
3 Cu 0.2301 0.7301 0.5000  6 As 2.58-2.62
4 Cd 0.4446 0.4446 0.0000  6 As 2.94-3.04, 2 Cu 3.13

***

3.
Entry from Alexandria: a relaxed structure of Cd2Cu2As (PBE).

Output
Energy above the lowest structure with this stoichiometry   0.25 eV/f.u.
Spin magnetization   0.00 μB/cell
E_tot   -2.70 eV per atom

a = 7.9639 Å, b = 7.9639 Å, c = 2.8615 Å
α = 90.00°, β = 90.00°, γ = 90.00°
With the nearest neighbours (Å) after each atom.
Fractional coordinates of all 10 atoms:
1 As 0.5000 0.5000 0.0000  2 As 2.86, 4 Cd 2.92
2 As 0.0000 0.0000 0.0000  2 As 2.86, 4 Cd 2.92
3 Cu 0.8885 0.3885 0.5000  1 Cu 2.51, 6 Cd 2.74-2.79
4 Cu 0.3885 0.1115 0.5000  1 Cu 2.51, 6 Cd 2.74-2.79
5 Cu 0.1115 0.6115 0.5000  1 Cu 2.51, 6 Cd 2.74-2.79
6 Cu 0.6115 0.8885 0.5000  1 Cu 2.51, 6 Cd 2.74-2.79
7 Cd 0.6813 0.1813 0.0000  6 Cu 2.74-2.79, 2 Cd 2.86, 2 As 2.92
8 Cd 0.3187 0.8187 0.0000  6 Cu 2.74-2.79, 2 Cd 2.86, 2 As 2.92
9 Cd 0.1813 0.3187 0.0000  6 Cu 2.74-2.79, 2 Cd 2.86, 2 As 2.92
10 Cd 0.8187 0.6813 0.0000  6 Cu 2.74-2.79, 2 Cd 2.86, 2 As 2.92

***

N(E_F) / states/eV per cell: 2.11; 1.61; 4.82